1.
{
  "formula": "BaTe2Ru",
  "functional": "PBE-GGA",
  "state": "optimized geometry",
  "de_polymorph_ev_per_fu": 3.18,
  "volume_a3_per_cell": 627.4,
  "crystal_system": "trigonal",
  "e_tot_ev_per_cell": -50.96,
  "dos_ef_per_ev_fu": 6.53,
  "raw_formation_energy_ev_per_atom": 0.1241,
  "lattice": [[5.2946, 0.0000, 0.0000], [-2.6473, 4.5853, 0.0000], [0.0000, 0.0000, 25.8419]],
  "species": ["Ba", "Ba", "Ba", "Te", "Te", "Te", "Te", "Te", "Te", "Ru", "Ru", "Ru"],
  "frac_coords": [[0.0000, 0.0000, 0.0000], [0.3333, 0.6667, 0.6667], [0.6667, 0.3333, 0.3333], [0.0000, 0.0000, 0.4004], [0.0000, 0.0000, 0.5996], [0.3333, 0.6667, 0.0670], [0.3333, 0.6667, 0.2663], [0.6667, 0.3333, 0.7337], [0.6667, 0.3333, 0.9330], [0.0000, 0.0000, 0.5000], [0.3333, 0.6667, 0.1667], [0.6667, 0.3333, 0.8333]]
}

2.
{
  "formula": "Fe3Co4",
  "functional": "PBE-GGA",
  "state": "optimized geometry",
  "de_polymorph_ev_per_fu": 0.36,
  "volume_a3_per_cell": 79.9,
  "formation_energy_mev_per_atom": 14,
  "crystal_system": "trigonal",
  "e_tot_ev_per_cell": -53.72,
  "dos_ef_per_ev_fu": 7.03,
  "lattice": [[5.2878, 3.0529, 0.8249], [-5.2878, 3.0529, 0.8249], [0.0000, -6.1058, 0.8249]],
  "species": ["Fe", "Fe", "Fe", "Co", "Co", "Co", "Co"],
  "frac_coords": [[0.1443, 0.2850, 0.5707], [0.2850, 0.5707, 0.1443], [0.5707, 0.1443, 0.2850], [0.0273, 0.0273, 0.0273], [0.4183, 0.8469, 0.7055], [0.7055, 0.4183, 0.8469], [0.8469, 0.7055, 0.4183]]
}

3.
{
  "formula": "VZnGeCl2",
  "functional": "PBE-GGA",
  "state": "optimized geometry",
  "volume_a3_per_cell": 128.7,
  "crystal_system": "tetragonal",
  "e_tot_ev_per_cell": -16.26,
  "dos_ef_per_ev_fu": 3.30,
  "raw_formation_energy_ev_per_atom": 0.4885,
  "lattice": [[4.4997, 0.0000, 0.0000], [0.0000, 4.4997, 0.0000], [0.0000, 0.0000, 6.3555]],
  "species": ["V", "Zn", "Ge", "Cl", "Cl"],
  "frac_coords": [[0.0000, 0.0000, 0.0000], [0.0000, 0.0000, 0.5000], [0.5000, 0.5000, 0.0000], [0.0000, 0.5000, 0.5000], [0.5000, 0.0000, 0.5000]]
}